{
  "formula": "Li2La3Zn3",
  "functional": "PBE-GGA",
  "state": "relaxed",
  "dft_energy_ev_per_atom": -2.99,
  "sg": "Immm (71)",
  "cell": [[3.6014, 0.0000, -0.7559], [-0.2488, 5.2024, -1.1852], [0.3670, -0.2855, 10.7062]],
  "species": ["Li", "La", "Zn", "La", "La", "Zn", "Zn", "Li"],
  "frac_coords": [[0.7322, 0.2322, 0.4644], [0.3738, 0.3738, 0.7477], [0.1334, 0.1334, 0.2668], [0.5000, 0.0000, 0.0000], [0.6262, 0.6262, 0.2523], [0.8666, 0.8666, 0.7332], [0.0000, 0.5000, 0.0000], [0.2678, 0.7678, 0.5356]]
}

{
  "formula": "Li2LaZn",
  "functional": "PBE-GGA",
  "state": "relaxed",
  "dft_energy_ev_per_atom": -2.57,
  "sg": "Cm (8)",
  "cell": [[-3.3834, 0.5424, 3.3453], [0.9248, -1.2272, 4.5355], [0.7090, 4.0647, 3.4768]],
  "species": ["Zn", "Li", "La", "Li"],
  "frac_coords": [[0.5309, 0.5309, 0.4064], [0.2460, 0.2460, 0.2622], [0.7518, 0.7518, 0.7439], [0.9713, 0.9713, 0.0874]]
}

{
  "formula": "Li6LaZn6",
  "functional": "PBE-GGA",
  "state": "relaxed",
  "dft_energy_ev_per_atom": -2.05,
  "sg": "Immm (71)",
  "cell": [[5.1975, 0.0000, 0.0000], [2.5988, 6.5825, -0.1255], [2.5988, 0.0321, 6.5837]],
  "species": ["Zn", "La", "Li", "Li", "Zn", "Li", "Zn", "Li", "Zn", "Zn", "Li", "Zn", "Li"],
  "frac_coords": [[0.0000, 0.5000, 0.0000], [0.0000, 0.0000, 0.0000], [0.7132, 0.7868, 0.7868], [0.6428, 0.3572, 0.3572], [0.5000, 0.0000, 0.5000], [0.2868, 0.2132, 0.2132], [0.0000, 0.0000, 0.5000], [0.0000, 0.6526, 0.3474], [0.5000, 0.2180, 0.7820], [0.5000, 0.5000, 0.0000], [0.3572, 0.6428, 0.6428], [0.5000, 0.7820, 0.2180], [0.0000, 0.3474, 0.6526]]
}

{
  "formula": "LiLa3Zn",
  "functional": "PBE-GGA",
  "state": "relaxed",
  "dft_energy_ev_per_atom": -3.15,
  "sg": "Pm-3m (221)",
  "cell": [[5.3448, 0.0000, 0.0000], [0.0000, 5.3448, 0.0000], [0.0000, 0.0000, 5.3448]],
  "species": ["La", "Zn", "La", "Li", "La"],
  "frac_coords": [[0.5000, 0.0000, 0.0000], [0.5000, 0.5000, 0.5000], [0.0000, 0.0000, 0.5000], [0.0000, 0.0000, 0.0000], [0.0000, 0.5000, 0.0000]]
}